Compound: Tb5Nd12Th2
Source: Alexandria via LeMat-Bulk
Functional: PBE
Structure: relaxed

SG	C2/m, No. 12
energy of formation	0.1232	eV/atom
theoretical density	7.62	g/cm3
total magnetic moment	0.000	μB per atom
total DFT energy (no corrections)	-4.8876	eV/atom

a = 10.8520 Å, b = 10.8520 Å, c = 6.2336 Å
α = 100.98°, β = 100.98°, γ = 65.69°
With the nearest neighbours (Å) after each atom.
Sites, in units of the cell vectors:
Tb: 0.0000 0.0000 0.0000  6 Nd 3.38-3.47
Tb: 0.2140 0.2140 0.0549  8 Nd 3.45-3.74, 3 Tb 3.54-3.84
Tb: 0.3210 0.3210 0.6470  9 Nd 3.46-3.84, 2 Tb 3.54-3.76
Tb: 0.6790 0.6790 0.3530  9 Nd 3.46-3.84, 2 Tb 3.54-3.76
Tb: 0.7860 0.7860 0.9451  8 Nd 3.45-3.74, 3 Tb 3.54-3.84
Nd: 0.0608 0.5441 0.3012  5 Nd 3.40-3.69, 3 Tb 3.45-3.74, 1 Th 3.55
Nd: 0.1197 0.1197 0.5007  4 Tb 3.38-3.58, 2 Th 3.46, 2 Nd 3.46
Nd: 0.1471 0.6476 0.8907  6 Nd 3.40-3.79, 1 Th 3.40, 3 Tb 3.46-3.63
Nd: 0.3524 0.8529 0.1093  6 Nd 3.40-3.79, 1 Th 3.40, 3 Tb 3.46-3.63
Nd: 0.4436 0.4436 0.2327  3 Nd 3.50-3.62, 2 Th 3.65, 2 Tb 3.78-3.82
Nd: 0.4559 0.9392 0.6988  5 Nd 3.40-3.69, 3 Tb 3.45-3.74, 1 Th 3.55
Nd: 0.5441 0.0608 0.3012  5 Nd 3.40-3.69, 3 Tb 3.45-3.74, 1 Th 3.55
Nd: 0.5564 0.5564 0.7673  3 Nd 3.50-3.62, 2 Th 3.65, 2 Tb 3.78-3.82
Nd: 0.6476 0.1471 0.8907  6 Nd 3.40-3.79, 1 Th 3.40, 3 Tb 3.46-3.63
Nd: 0.8529 0.3524 0.1093  6 Nd 3.40-3.79, 1 Th 3.40, 3 Tb 3.46-3.63
Nd: 0.8803 0.8803 0.4993  4 Tb 3.38-3.58, 2 Th 3.46, 2 Nd 3.46
Nd: 0.9392 0.4559 0.6988  5 Nd 3.40-3.69, 3 Tb 3.45-3.74, 1 Th 3.55
Th: 0.2280 0.7720 0.5000  8 Nd 3.40-3.65
Th: 0.7720 0.2280 0.5000  8 Nd 3.40-3.65

=====

Compound: Tb2Nd3Th
Source: Alexandria via LeMat-Bulk
Functional: PBE
Structure: relaxed

SG	Cmcm, No. 63
energy of formation	0.0670	eV/atom
theoretical density	8.08	g/cm3
total magnetic moment	0.000	μB per atom
total DFT energy (no corrections)	-5.0970	eV/atom

a = 8.6203 Å, b = 8.6203 Å, c = 5.5894 Å
α = 90.00°, β = 90.00°, γ = 103.47°
With the nearest neighbours (Å) after each atom.
Sites, in units of the cell vectors:
Tb: 0.0989 0.2266 0.2500  3 Tb 3.29-3.48, 4 Nd 3.47-3.67, 2 Th 3.63
Tb: 0.2266 0.0989 0.7500  3 Tb 3.29-3.48, 4 Nd 3.47-3.67, 2 Th 3.63
Tb: 0.7734 0.9011 0.2500  3 Tb 3.29-3.48, 4 Nd 3.47-3.67, 2 Th 3.63
Tb: 0.9011 0.7734 0.7500  3 Tb 3.29-3.48, 4 Nd 3.47-3.67, 2 Th 3.63
Nd: 0.1500 0.5096 0.7500  4 Tb 3.47-3.75, 3 Th 3.52-3.86, 6 Nd 3.64-3.80
Nd: 0.4336 0.5664 0.2500  6 Nd 3.32-3.67, 1 Th 3.47, 2 Tb 3.60
Nd: 0.4904 0.8500 0.7500  4 Tb 3.47-3.75, 3 Th 3.52-3.86, 6 Nd 3.64-3.80
Nd: 0.5096 0.1500 0.2500  4 Tb 3.47-3.75, 3 Th 3.52-3.86, 6 Nd 3.64-3.80
Nd: 0.5664 0.4336 0.7500  6 Nd 3.32-3.67, 1 Th 3.47, 2 Tb 3.60
Nd: 0.8500 0.4904 0.2500  4 Tb 3.47-3.75, 3 Th 3.52-3.86, 6 Nd 3.64-3.80
Th: 0.1770 0.8230 0.2500  7 Nd 3.47-3.86, 6 Tb 3.63-3.69
Th: 0.8230 0.1770 0.7500  7 Nd 3.47-3.86, 6 Tb 3.63-3.69

=====

Compound: Tb9NdTh2
Source: Alexandria via LeMat-Bulk
Functional: PBE
Structure: relaxed

SG	P6/mmm, No. 191
energy of formation	0.0995	eV/atom
theoretical density	8.60	g/cm3
total magnetic moment	0.000	μB per atom
total DFT energy (no corrections)	-5.0072	eV/atom

a = 11.3921 Å, b = 11.3921 Å, c = 3.5024 Å
α = 90.00°, β = 90.00°, γ = 120.00°
With the nearest neighbours (Å) after each atom.
Sites, in units of the cell vectors:
Tb: 0.0000 0.5000 0.0000  2 Th 3.29, 10 Tb 3.50-3.66
Tb: 0.1746 0.3493 0.5000  8 Tb 3.45-3.66, 2 Th 3.59
Tb: 0.1746 0.8254 0.5000  8 Tb 3.45-3.66, 2 Th 3.59
Tb: 0.3493 0.1746 0.5000  8 Tb 3.45-3.66, 2 Th 3.59
Tb: 0.5000 0.0000 0.0000  2 Th 3.29, 10 Tb 3.50-3.66
Tb: 0.5000 0.5000 0.0000  2 Th 3.29, 10 Tb 3.50-3.66
Tb: 0.6507 0.8254 0.5000  8 Tb 3.45-3.66, 2 Th 3.59
Tb: 0.8254 0.1746 0.5000  8 Tb 3.45-3.66, 2 Th 3.59
Tb: 0.8254 0.6507 0.5000  8 Tb 3.45-3.66, 2 Th 3.59
Nd: 0.0000 0.0000 0.0000  2 Nd 3.50, 12 Tb 3.87
Th: 0.3333 0.6667 0.0000  9 Tb 3.29-3.59, 2 Th 3.50
Th: 0.6667 0.3333 0.0000  9 Tb 3.29-3.59, 2 Th 3.50

=====

Compound: Tb4Nd5Th2
Source: Alexandria via LeMat-Bulk
Functional: PBE
Structure: relaxed

SG	Immm, No. 71
energy of formation	0.2449	eV/atom
theoretical density	7.96	g/cm3
total magnetic moment	0.000	μB per atom
total DFT energy (no corrections)	-4.9551	eV/atom

a = 11.1186 Å, b = 11.1186 Å, c = 11.1186 Å
α = 161.80°, β = 117.23°, γ = 65.95°
With the nearest neighbours (Å) after each atom.
Sites, in units of the cell vectors:
Tb: 0.0879 0.0879 0.0000  7 Tb 3.28-3.57, 4 Nd 3.44
Tb: 0.2282 0.5000 0.7282  4 Nd 3.30-3.61, 6 Tb 3.52-3.57
Tb: 0.7718 0.5000 0.2718  4 Nd 3.30-3.61, 6 Tb 3.52-3.57
Tb: 0.9121 0.9121 0.0000  7 Tb 3.28-3.57, 4 Nd 3.44
Nd: 0.0344 0.3234 0.7111  3 Tb 3.30-3.44, 4 Nd 3.38-3.52, 1 Th 3.38
Nd: 0.3877 0.6766 0.7111  3 Tb 3.30-3.44, 4 Nd 3.38-3.52, 1 Th 3.38
Nd: 0.5000 0.0000 0.5000  2 Nd 3.52, 4 Tb 3.61
Nd: 0.6123 0.3234 0.2889  3 Tb 3.30-3.44, 4 Nd 3.38-3.52, 1 Th 3.38
Nd: 0.9656 0.6766 0.2889  3 Tb 3.30-3.44, 4 Nd 3.38-3.52, 1 Th 3.38
Th: 0.2972 0.2972 0.0000  6 Nd 3.38-3.76, 2 Th 3.52
Th: 0.7028 0.7028 0.0000  6 Nd 3.38-3.76, 2 Th 3.52

=====

> energy of formation of number 1 (Tb5Nd12Th2)?

0.1232 eV/atom